[1]
# BeAg2Sb (PBE, relaxed)
# calculated total energy	-24.81	eV/cell
# E_form (uncorrected)	0.2861	eV/atom
data_BeAg2Sb
_chemical_formula_sum 'Be2 Ag4 Sb2'
_symmetry_space_group_name_H-M 'C 1 2/m 1'
_symmetry_Int_Tables_number 12
_cell_length_a 8.651
_cell_length_b 3.116
_cell_length_c 5.695
_cell_angle_alpha 90.00
_cell_angle_beta 104.87
_cell_angle_gamma 90.00
loop_
_symmetry_equiv_pos_as_xyz
'x,y,z'
'-x,-y,-z'
'-x,y,-z'
'x,-y,z'
'x+1/2,y+1/2,z'
'-x+1/2,-y+1/2,-z'
'-x+1/2,y+1/2,-z'
'x+1/2,-y+1/2,z'
loop_
_atom_site_label
_atom_site_type_symbol
_atom_site_fract_x
_atom_site_fract_y
_atom_site_fract_z
Be1 Be 0.000 0.000 0.000
Ag1 Ag 0.220 0.500 0.194
Sb1 Sb 0.000 0.500 0.500


[2]
# BeAg2Sb (PBE, relaxed)
# calculated total energy	-24.53	eV/cell
# E_form (uncorrected)	0.3218	eV/atom
data_BeAg2Sb
_chemical_formula_sum 'Be2 Ag4 Sb2'
_symmetry_space_group_name_H-M 'I 4/m m m'
_symmetry_Int_Tables_number 139
_symmetry_space_group_name_Hall '-I 4 2'
_cell_length_a 4.030
_cell_length_b 4.030
_cell_length_c 8.874
_cell_angle_alpha 90.00
_cell_angle_beta 90.00
_cell_angle_gamma 90.00
loop_
_atom_site_label
_atom_site_type_symbol
_atom_site_fract_x
_atom_site_fract_y
_atom_site_fract_z
Be1 Be 0.000 0.000 0.000
Ag1 Ag 0.000 0.500 0.250
Sb1 Sb 0.000 0.000 0.500


[3]
# BeAgSb3 (PBE, relaxed)
# offset from the most stable computed form	632	meV/atom
# calculated total energy	-13.10	eV/cell
# E_form (uncorrected)	1.1681	eV/atom
data_BeAgSb3
_chemical_formula_sum 'Be1 Ag1 Sb3'
_symmetry_space_group_name_H-M 'P m -3 m'
_symmetry_Int_Tables_number 221
_symmetry_space_group_name_Hall '-P 4 2 3'
_cell_length_a 5.343
_cell_length_b 5.343
_cell_length_c 5.343
_cell_angle_alpha 90.00
_cell_angle_beta 90.00
_cell_angle_gamma 90.00
loop_
_atom_site_label
_atom_site_type_symbol
_atom_site_fract_x
_atom_site_fract_y
_atom_site_fract_z
Be1 Be 0.000 0.000 0.000
Ag1 Ag 0.500 0.500 0.500
Sb1 Sb 0.000 0.500 0.500


[4]
# BeAgSb3 (PBE, relaxed)
# offset from the most stable computed form	0	meV/atom
# calculated total energy	-16.26	eV/cell
# E_form (uncorrected)	0.5365	eV/atom
data_BeAgSb3
_chemical_formula_sum 'Be1 Ag1 Sb3'
_symmetry_space_group_name_H-M 'P m -3 m'
_symmetry_Int_Tables_number 221
_symmetry_space_group_name_Hall '-P 4 2 3'
_cell_length_a 4.938
_cell_length_b 4.938
_cell_length_c 4.938
_cell_angle_alpha 90.00
_cell_angle_beta 90.00
_cell_angle_gamma 90.00
loop_
_atom_site_label
_atom_site_type_symbol
_atom_site_fract_x
_atom_site_fract_y
_atom_site_fract_z
Be1 Be 0.000 0.000 0.000
Ag1 Ag 0.500 0.500 0.500
Sb1 Sb 0.000 0.000 0.500


[5]
# Be4AgSb (PBE, relaxed)
# calculated total energy	-77.51	eV/cell
# E_form (uncorrected)	0.4169	eV/atom
data_Be4AgSb
_chemical_formula_sum 'Be16 Ag4 Sb4'
_symmetry_space_group_name_H-M 'F -4 3 m'
_symmetry_Int_Tables_number 216
_symmetry_space_group_name_Hall 'F -4 2 3'
_cell_length_a 6.787
_cell_length_b 6.787
_cell_length_c 6.787
_cell_angle_alpha 90.00
_cell_angle_beta 90.00
_cell_angle_gamma 90.00
loop_
_atom_site_label
_atom_site_type_symbol
_atom_site_fract_x
_atom_site_fract_y
_atom_site_fract_z
Be1 Be 0.124 0.124 0.376
Ag1 Ag 0.250 0.250 0.750
Sb1 Sb 0.000 0.000 0.000


[6]
# BeAg2Sb2 (PBE, relaxed)
# offset from the most stable computed form	0	meV/atom
# calculated total energy	-31.65	eV/cell
# E_form (uncorrected)	0.3694	eV/atom
data_BeAg2Sb2
_chemical_formula_sum 'Be2 Ag4 Sb4'
_symmetry_space_group_name_H-M 'P 4/m b m'
_symmetry_Int_Tables_number 127
_symmetry_space_group_name_Hall '-P 4 2ab'
_cell_length_a 6.697
_cell_length_b 6.697
_cell_length_c 4.916
_cell_angle_alpha 90.00
_cell_angle_beta 90.00
_cell_angle_gamma 90.00
loop_
_atom_site_label
_atom_site_type_symbol
_atom_site_fract_x
_atom_site_fract_y
_atom_site_fract_z
Be1 Be 0.000 0.000 0.000
Ag1 Ag 0.165 0.335 0.500
Sb1 Sb 0.156 0.656 0.000


[7]
# BeAg2Sb (PBE, relaxed)
# calculated total energy	-25.00	eV/cell
# E_form (uncorrected)	0.2628	eV/atom
data_BeAg2Sb
_chemical_formula_sum 'Be2 Ag4 Sb2'
_symmetry_space_group_name_H-M 'C 1 m 1'
_symmetry_Int_Tables_number 8
_cell_length_a 8.766
_cell_length_b 3.110
_cell_length_c 6.110
_cell_angle_alpha 90.00
_cell_angle_beta 113.92
_cell_angle_gamma 90.00
loop_
_symmetry_equiv_pos_as_xyz
'x,y,z'
'x,-y,z'
'x+1/2,y+1/2,z'
'x+1/2,-y+1/2,z'
loop_
_atom_site_label
_atom_site_type_symbol
_atom_site_fract_x
_atom_site_fract_y
_atom_site_fract_z
Be1 Be 0.000 0.000 0.000
Ag1 Ag 0.018 0.500 0.322
Ag2 Ag 0.218 0.500 0.006
Sb1 Sb 0.340 0.000 0.638


[8]
# BeAg2Sb (PBE, relaxed)
# calculated total energy	-12.30	eV/cell
# E_form (uncorrected)	0.3118	eV/atom
data_BeAg2Sb
_chemical_formula_sum 'Be1 Ag2 Sb1'
_symmetry_space_group_name_H-M 'P 4/m m m'
_symmetry_Int_Tables_number 123
_symmetry_space_group_name_Hall '-P 4 2'
_cell_length_a 4.040
_cell_length_b 4.040
_cell_length_c 4.415
_cell_angle_alpha 90.00
_cell_angle_beta 90.00
_cell_angle_gamma 90.00
loop_
_atom_site_label
_atom_site_type_symbol
_atom_site_fract_x
_atom_site_fract_y
_atom_site_fract_z
Be1 Be 0.000 0.000 0.000
Ag1 Ag 0.000 0.500 0.500
Sb1 Sb 0.500 0.500 0.000


[9]
# BeAg2Sb (PBE, relaxed)
# calculated total energy	-24.41	eV/cell
# E_form (uncorrected)	0.3362	eV/atom
data_BeAg2Sb
_chemical_formula_sum 'Be2 Ag4 Sb2'
_symmetry_space_group_name_H-M 'I -4 m 2'
_symmetry_Int_Tables_number 119
_symmetry_space_group_name_Hall 'I -4 -2'
_cell_length_a 4.166
_cell_length_b 4.166
_cell_length_c 8.311
_cell_angle_alpha 90.00
_cell_angle_beta 90.00
_cell_angle_gamma 90.00
loop_
_atom_site_label
_atom_site_type_symbol
_atom_site_fract_x
_atom_site_fract_y
_atom_site_fract_z
Be1 Be 0.000 0.000 0.000
Ag1 Ag 0.000 0.000 0.500
Ag2 Ag 0.000 0.500 0.250
Sb1 Sb 0.000 0.500 0.750


[10]
# BeAg2Sb (PBE, relaxed)
# calculated total energy	-23.89	eV/cell
# E_form (uncorrected)	0.4012	eV/atom
data_BeAg2Sb
_chemical_formula_sum 'Be2 Ag4 Sb2'
_symmetry_space_group_name_H-M 'C 1 2/m 1'
_symmetry_Int_Tables_number 12
_cell_length_a 5.618
_cell_length_b 9.791
_cell_length_c 3.261
_cell_angle_alpha 90.00
_cell_angle_beta 122.89
_cell_angle_gamma 90.00
loop_
_symmetry_equiv_pos_as_xyz
'x,y,z'
'-x,-y,-z'
'-x,y,-z'
'x,-y,z'
'x+1/2,y+1/2,z'
'-x+1/2,-y+1/2,-z'
'-x+1/2,y+1/2,-z'
'x+1/2,-y+1/2,z'
loop_
_atom_site_label
_atom_site_type_symbol
_atom_site_fract_x
_atom_site_fract_y
_atom_site_fract_z
Be1 Be 0.000 0.000 0.000
Ag1 Ag 0.250 0.250 0.000
Sb1 Sb 0.000 0.500 0.000


[11]
# BeAgSb4 (PBE, relaxed)
# calculated total energy	-73.64	eV/cell
# E_form (uncorrected)	0.7763	eV/atom
data_BeAgSb4
_chemical_formula_sum 'Be4 Ag4 Sb16'
_symmetry_space_group_name_H-M 'F -4 3 m'
_symmetry_Int_Tables_number 216
_symmetry_space_group_name_Hall 'F -4 2 3'
_cell_length_a 8.717
_cell_length_b 8.717
_cell_length_c 8.717
_cell_angle_alpha 90.00
_cell_angle_beta 90.00
_cell_angle_gamma 90.00
loop_
_atom_site_label
_atom_site_type_symbol
_atom_site_fract_x
_atom_site_fract_y
_atom_site_fract_z
Be1 Be 0.000 0.000 0.000
Ag1 Ag 0.250 0.250 0.250
Sb1 Sb 0.126 0.126 0.626


[12]
# BeAg2Sb2 (PBE, relaxed)
# offset from the most stable computed form	9	meV/atom
# calculated total energy	-31.57	eV/cell
# E_form (uncorrected)	0.3780	eV/atom
data_BeAg2Sb2
_chemical_formula_sum 'Be2 Ag4 Sb4'
_symmetry_space_group_name_H-M 'P 4/m b m'
_symmetry_Int_Tables_number 127
_symmetry_space_group_name_Hall '-P 4 2ab'
_cell_length_a 6.241
_cell_length_b 6.241
_cell_length_c 5.565
_cell_angle_alpha 90.00
_cell_angle_beta 90.00
_cell_angle_gamma 90.00
loop_
_atom_site_label
_atom_site_type_symbol
_atom_site_fract_x
_atom_site_fract_y
_atom_site_fract_z
Be1 Be 0.000 0.000 0.000
Ag1 Ag 0.171 0.329 0.000
Sb1 Sb 0.224 0.724 0.500


Copy entry 7 word for word.
# BeAg2Sb (PBE, relaxed)
# calculated total energy	-25.00	eV/cell
# E_form (uncorrected)	0.2628	eV/atom
data_BeAg2Sb
_chemical_formula_sum 'Be2 Ag4 Sb2'
_symmetry_space_group_name_H-M 'C 1 m 1'
_symmetry_Int_Tables_number 8
_cell_length_a 8.766
_cell_length_b 3.110
_cell_length_c 6.110
_cell_angle_alpha 90.00
_cell_angle_beta 113.92
_cell_angle_gamma 90.00
loop_
_symmetry_equiv_pos_as_xyz
'x,y,z'
'x,-y,z'
'x+1/2,y+1/2,z'
'x+1/2,-y+1/2,z'
loop_
_atom_site_label
_atom_site_type_symbol
_atom_site_fract_x
_atom_site_fract_y
_atom_site_fract_z
Be1 Be 0.000 0.000 0.000
Ag1 Ag 0.018 0.500 0.322
Ag2 Ag 0.218 0.500 0.006
Sb1 Sb 0.340 0.000 0.638